<one>
Crystalline Cd2SnHgIr at its relaxed geometry. Source: Alexandria via LeMat-Bulk, functional GGA-PBE.

abc: 5.3225 5.3225 5.0270
angles: 90.00 90.00 90.00
Positions (direct):
Cd 0.0000 0.5000 0.0000
Cd 0.5000 0.0000 0.0000
Sn 0.0000 0.0000 0.5000
Hg 0.5000 0.5000 0.5000
Ir 0.0000 0.0000 0.0000

- total magnetic moment (μB per formula unit) = 0.00

=====

<two>
Crystalline Cd2SnHgIr at its relaxed geometry. Source: Alexandria via LeMat-Bulk, functional GGA-PBE.

abc: 5.1959 5.1959 5.1645
angles: 90.00 90.00 90.00
Positions (direct):
Cd 0.0000 0.5000 0.0000
Cd 0.5000 0.0000 0.0000
Sn 0.0000 0.0000 0.5000
Hg 0.5000 0.5000 0.0000
Ir 0.5000 0.5000 0.5000

- total magnetic moment (μB per formula unit) = 0.00

=====

Least stable: <two>

=====

<one>
Crystalline KCd2Hg8 at its relaxed geometry. Source: Alexandria via LeMat-Bulk, functional GGA-PBE.

abc: 6.3231 6.3231 10.0004
angles: 90.00 90.00 90.00
Positions (direct):
K 0.0000 0.0000 0.0000
Cd 0.0000 0.5000 0.5000
Cd 0.5000 0.0000 0.5000
Hg 0.2532 0.2532 0.2765
Hg 0.2532 0.2532 0.7235
Hg 0.2532 0.7468 0.2765
Hg 0.2532 0.7468 0.7235
Hg 0.7468 0.2532 0.2765
Hg 0.7468 0.2532 0.7235
Hg 0.7468 0.7468 0.2765
Hg 0.7468 0.7468 0.7235

- total magnetic moment (μB per formula unit) = 0.00

=====

<two>
Crystalline KCd2Hg8 at its relaxed geometry. Source: Alexandria via LeMat-Bulk, functional GGA-PBE.

abc: 7.8817 7.8817 5.6294
angles: 99.28 99.28 96.08
Positions (direct):
K 0.0000 0.0000 0.0000
Cd 0.2756 0.7244 0.5000
Cd 0.7244 0.2756 0.5000
Hg 0.1014 0.3579 0.6499
Hg 0.3234 0.6766 0.0000
Hg 0.3501 0.3501 0.2387
Hg 0.3579 0.1014 0.6499
Hg 0.6421 0.8986 0.3501
Hg 0.6499 0.6499 0.7613
Hg 0.6766 0.3234 0.0000
Hg 0.8986 0.6421 0.3501

- total magnetic moment (μB per formula unit) = 0.00

=====

Least stable: <one>